Below is an optimized crystal structure of Sr2CuF8, with properties calculated at the PBE level.

## Properties
relative energy among the computed polymorphs	3	meV/atom
raw formation energy	-2.584	eV/atom
magnetic moment	1.111	μB per cell
SG	P-1

a = 3.9039 Å, b = 7.8384 Å, c = 6.9536 Å
α = 85.67°, β = 117.34°, γ = 102.29°
With the nearest neighbours (Å) after each atom.
Fractional positions:
F1 0.4089 0.4654 0.1114  1 F 1.98
F2 0.2698 0.1129 0.7539  1 Cu 1.79
F3 0.1748 0.3662 0.4738  3 Sr 2.44-2.45, 1 F 2.63
F4 0.5911 0.5346 0.8886  1 F 1.98
Sr1 0.1372 0.6456 0.2907  8 F 2.44-2.70
Sr2 0.8628 0.3544 0.7093  8 F 2.44-2.70
F5 0.8252 0.6338 0.5262  3 Sr 2.44-2.45, 1 F 2.63
F6 0.0572 0.8448 0.9444  1 Cu 1.78
F7 0.7302 0.8871 0.2461  1 Cu 1.79
Cu1 0.5000 0.0000 0.0000  4 F 1.78-1.79
F8 0.9428 0.1552 0.0556  1 Cu 1.78

Below is an optimized crystal structure of Ho4AuC, with properties calculated at the PBE level.

## Properties
DFT formation energy	-0.36	eV per atom
magnetic moment	0.000	μB per cell
SG	C2/c

a = 6.2747 Å, b = 7.1593 Å, c = 7.9500 Å
α = 110.25°, β = 106.01°, γ = 105.31°
With the nearest neighbours (Å) after each atom.
Fractional positions:
Ho1 0.5799 0.2782 0.0923  2 C 2.42-2.57
C1 0.1866 0.9366 0.8731  6 Ho 2.42-2.57
Ho2 0.4201 0.7218 0.9077  2 C 2.42-2.57
Ho3 0.8098 0.6589 0.5985  1 C 2.44
Ho4 0.2886 0.9396 0.5985  1 C 2.44
Ho5 0.0124 0.8142 0.0923  2 C 2.42-2.57
Au1 0.3725 0.6225 0.2451  6 Ho 2.87-3.12
Ho6 0.9876 0.1858 0.9077  2 C 2.42-2.57
Ho7 0.7114 0.0604 0.4015  1 C 2.44
Ho8 0.1902 0.3411 0.4015  1 C 2.44
C2 0.8134 0.0634 0.1269  6 Ho 2.42-2.57
Au2 0.6275 0.3775 0.7549  6 Ho 2.87-3.12

Below is an optimized crystal structure of Be2IrCl, with properties calculated at the PBE level.

## Properties
relative energy among the computed polymorphs	220	meV/atom
raw formation energy	-0.181	eV/atom
magnetic moment	0.000	μB per cell
SG	P4/mmm

a = 2.9158 Å, b = 2.9158 Å, c = 6.2378 Å
α = 90.00°, β = 90.00°, γ = 90.01°
With the nearest neighbours (Å) after each atom.
Fractional positions:
Cl1 0.5000 0.5000 0.2500  8 Be 2.83, 4 Cl 2.92, 2 Ir 3.12
Be1 0.0000 0.0000 0.9391  1 Be 2.36, 4 Ir 2.38
Ir1 0.5000 0.5000 0.7500  8 Be 2.38
Be2 0.0000 0.0000 0.5609  1 Be 2.36, 4 Ir 2.38

Below is an optimized crystal structure of TlAg2Ru, with properties calculated at the PBE level.

## Properties
relative energy among the computed polymorphs	0	meV/atom
DFT formation energy	0.39	eV per atom
magnetic moment	0.784	μB per cell
SG	P4/mmm

a = 4.0216 Å, b = 4.0216 Å, c = 4.4846 Å
α = 90.00°, β = 90.00°, γ = 90.00°
With the nearest neighbours (Å) after each atom.
Fractional positions:
Ru1 0.5000 0.0000 0.5000  4 Tl 2.84, 8 Ag 3.01
Tl1 0.0000 0.5000 0.5000  4 Ru 2.84, 8 Ag 3.01
Ag1 0.5000 0.5000 0.0000  4 Ag 2.84, 4 Tl 3.01, 4 Ru 3.01
Ag2 0.0000 0.0000 0.0000  4 Ag 2.84, 4 Ru 3.01, 4 Tl 3.01

Below is an optimized crystal structure of TbZrAu2, with properties calculated at the PBE level.

## Properties
relative energy among the computed polymorphs	171	meV/atom
DFT formation energy	-0.45	eV per atom
magnetic moment	0.000	μB per cell
SG	R-3m

a = 3.7807 Å, b = 3.7807 Å, c = 8.0873 Å
α = 76.48°, β = 76.48°, γ = 60.00°
With the nearest neighbours (Å) after each atom.
Fractional positions:
Zr1 0.0000 0.0000 0.0000  6 Au 2.84
Au1 0.7444 0.7444 0.7667  3 Zr 2.84, 3 Tb 3.01
Au2 0.2556 0.2556 0.2333  3 Zr 2.84, 3 Tb 3.01
Tb1 0.5000 0.5000 0.5000  6 Au 3.01

Below is an optimized crystal structure of OsPbBr, with properties calculated at the PBE level.

## Properties
relative energy among the computed polymorphs	124	meV/atom
raw formation energy	0.984	eV/atom
magnetic moment	0.000	μB per cell
SG	P-6m2

a = 4.6275 Å, b = 4.6275 Å, c = 3.3730 Å
α = 90.00°, β = 90.00°, γ = 120.00°
With the nearest neighbours (Å) after each atom.
Fractional positions:
Os1 0.6667 0.3333 0.1664  3 Br 2.67
Pb1 0.3333 0.6667 0.6668  6 Os 3.16, 6 Br 3.16, 2 Pb 3.37
Br1 0.0000 0.0000 0.1668  3 Os 2.67

Below is an optimized crystal structure of Mg2FeW, with properties calculated at the PBE level.

## Properties
relative energy among the computed polymorphs	308	meV/atom
DFT formation energy	0.49	eV per atom
magnetic moment	0.004	μB per cell
SG	Pmmm

a = 3.0825 Å, b = 4.2922 Å, c = 4.6333 Å
α = 90.00°, β = 90.00°, γ = 90.00°
With the nearest neighbours (Å) after each atom.
Fractional positions:
Mg1 0.5000 0.5000 0.0000  4 Mg 2.64, 4 Fe 2.78
Mg2 0.0000 0.0000 0.0000  4 Mg 2.64, 4 W 2.78
W1 0.5000 0.0000 0.5000  4 Fe 2.64, 4 Mg 2.78
Fe1 0.0000 0.5000 0.5000  4 W 2.64, 4 Mg 2.78

Below is an optimized crystal structure of NaCd5In8, with properties calculated at the PBE level.

## Properties
DFT formation energy	0.04	eV per atom
magnetic moment	0.000	μB per cell
SG	I-4

a = 7.9390 Å, b = 7.9390 Å, c = 7.9390 Å
α = 105.44°, β = 117.88°, γ = 105.44°
With the nearest neighbours (Å) after each atom.
Fractional positions:
In1 0.7402 0.2805 0.3498  6 In 3.12-3.46, 3 Cd 3.26-3.37, 1 Na 3.28
In2 0.6502 0.3904 0.9307  6 In 3.12-3.46, 3 Cd 3.26-3.37, 1 Na 3.28
In3 0.0693 0.7195 0.4597  6 In 3.12-3.46, 3 Cd 3.26-3.37, 1 Na 3.28
Cd1 0.0352 0.2698 0.0230  4 In 2.94-3.26, 2 Cd 3.12
Cd2 0.9770 0.0122 0.2468  4 In 2.94-3.26, 2 Cd 3.12
Cd3 0.2346 0.9878 0.9648  4 In 2.94-3.26, 2 Cd 3.12
In4 0.9191 0.0311 0.5893  4 Cd 2.94-3.05, 3 In 3.12-3.24
In5 0.1120 0.6702 0.0809  4 Cd 2.94-3.05, 3 In 3.12-3.24
Cd4 0.7532 0.7302 0.7654  4 In 2.94-3.26, 2 Cd 3.12
In6 0.4107 0.3298 0.4418  4 Cd 2.94-3.05, 3 In 3.12-3.24
Na1 0.2500 0.5000 0.7500  8 In 3.28-3.39
In7 0.5403 0.6096 0.2598  6 In 3.12-3.46, 3 Cd 3.26-3.37, 1 Na 3.28
Cd5 0.5000 0.0000 0.5000  4 In 2.98
In8 0.5582 0.9689 0.8880  4 Cd 2.94-3.05, 3 In 3.12-3.24

Q: Which value of magnetic moment does entry 5 give?
A: 0.000 μB per cell